Record 1
Entry from Alexandria: a relaxed structure of MnIn2I2Br2 (PBE).

```
data_MnIn2I2Br2
_chemical_formula_sum 'Mn1 In2 I2 Br2'
_symmetry_space_group_name_H-M 'P -1'
_symmetry_Int_Tables_number 2
_cell_length_a 4.133
_cell_length_b 7.296
_cell_length_c 8.906
_cell_angle_alpha 114.17
_cell_angle_beta 103.39
_cell_angle_gamma 90.02
loop_
_symmetry_equiv_pos_as_xyz
'x,y,z'
'-x,-y,-z'
loop_
_atom_site_label
_atom_site_fract_x
_atom_site_fract_y
_atom_site_fract_z
Mn1 0.000 0.000 0.000
In1 0.152 0.649 0.301
I1 0.185 0.185 0.371
Br1 0.500 0.244 0.000
```

Computed properties:
Total magnetization (μB per atom): 0.714
Formation energy without anion corrections (eV/atom): -0.542


Record 2
Entry from Alexandria: a relaxed structure of InMo2IBr (PBE).

```
data_InMo2IBr
_chemical_formula_sum 'In1 Mo2 I1 Br1'
_symmetry_space_group_name_H-M 'P 4/m m m'
_symmetry_Int_Tables_number 123
_symmetry_space_group_name_Hall '-P 4 2'
_cell_length_a 4.943
_cell_length_b 4.943
_cell_length_c 6.683
_cell_angle_alpha 90.00
_cell_angle_beta 90.00
_cell_angle_gamma 90.00
loop_
_atom_site_label
_atom_site_fract_x
_atom_site_fract_y
_atom_site_fract_z
In1 0.000 0.000 0.000
Mo1 0.000 0.500 0.500
I1 0.500 0.500 0.000
Br1 0.000 0.000 0.500
```

Computed properties:
Total magnetization (μB per atom): 1.372
Formation energy without anion corrections (eV/atom): 1.484


Looking at total DFT energy (no corrections) for the records above, in order, we have -3.56; -4.04 eV per atom.